Density functional theory data (PBE+U) for an optimized crystal structure of Cr2S3O12.

Lattice parameters (Å, degrees): 8.2792 8.2792 8.8639 62.16 117.84 120.00
With the nearest neighbours (Å) after each atom.
Element x y z (fractional)
Cr 0.3484 0.6516 0.0452  6 O 1.99-2.03
Cr 0.8553 0.1447 0.5660  6 O 2.00-2.01
Cr 0.6516 0.3484 0.9548  6 O 1.99-2.03
Cr 0.1447 0.8553 0.4340  6 O 2.00-2.01
S 0.4586 0.9617 0.2485  4 O 1.48-1.49
S 0.7516 0.5414 0.2485  4 O 1.48-1.49
S 0.0383 0.2484 0.2485  4 O 1.48-1.49
S 0.5414 0.0383 0.7515  4 O 1.48-1.49
S 0.2484 0.4586 0.7515  4 O 1.48-1.49
S 0.9617 0.7516 0.7515  4 O 1.48-1.49
O 0.8271 0.5458 0.7981  1 S 1.48
O 0.5168 0.1729 0.7981  1 S 1.48
O 0.4542 0.4832 0.7981  1 S 1.48
O 0.1729 0.4542 0.2019  1 S 1.48
O 0.4832 0.8271 0.2019  1 S 1.48
O 0.5458 0.5168 0.2019  1 S 1.48
O 0.8772 0.8835 0.7322  1 S 1.48
O 0.7384 0.1228 0.7322  1 S 1.48
O 0.1165 0.2616 0.7322  1 S 1.48
O 0.1228 0.1165 0.2678  1 S 1.48
O 0.8835 0.7384 0.2678  1 S 1.48
O 0.2616 0.8772 0.2678  1 S 1.48
O 0.7965 0.3904 0.4210  1 S 1.48
O 0.6096 0.9850 0.4210  1 S 1.48
O 0.0150 0.2035 0.4210  1 S 1.48
O 0.2035 0.6096 0.5790  1 S 1.48
O 0.3904 0.0150 0.5790  1 S 1.48
O 0.9850 0.7964 0.5790  1 S 1.48
O 0.7850 0.5248 0.1057  1 S 1.49
O 0.4752 0.1545 0.1057  1 S 1.49
O 0.8455 0.2150 0.1057  1 S 1.49
O 0.2150 0.4752 0.8943  1 S 1.49
O 0.5248 0.8455 0.8943  1 S 1.49
O 0.1545 0.7850 0.8943  1 S 1.49

**Crystal system**: trigonal
**Spin magnetization**: 11.903 μB/cell
**SG**: No. 148
**Offset from the most stable computed form**: 0.00 eV/f.u.
**Calculated total energy**: -6.64 eV per atom